Entry P
## SrTlCd2Rh (PBE-GGA)

Data for crystalline SrTlCd2Rh at its relaxed geometry.

The structure in POSCAR format:
```
SrTlCd2Rh
1.0
5.2367 0.0000 0.0000
0.0000 5.2367 0.0000
0.0000 0.0000 5.2218
Sr Tl Cd Rh
1 1 2 1
direct
0.5000 0.5000 0.5000
0.0000 0.0000 0.5000
0.0000 0.5000 0.0000
0.5000 0.0000 0.0000
0.0000 0.0000 0.0000
```

Results
Its space group is P4/mmm (123). The value obtained for the density of states at the Fermi level is 2.89 states/eV/f.u. As for the theoretical density: 7.2 g/cm³.

Entry Q
## SrTlCd2Rh (PBE-GGA)

Data for crystalline SrTlCd2Rh at its relaxed geometry.

The structure in POSCAR format:
```
SrTlCd2Rh
1.0
5.2661 0.0000 0.0000
0.0000 5.2661 0.0000
0.0000 0.0000 5.5428
Tl Cd Sr Rh
1 2 1 1
direct
0.5000 0.5000 0.5000
0.5000 0.0000 0.0000
0.0000 0.5000 0.0000
0.0000 0.0000 0.5000
0.0000 0.0000 0.0000
```

Results
Its space group is P4/mmm (123). The value obtained for the density of states at the Fermi level is 3.17 states/eV/f.u. As for the theoretical density: 6.7 g/cm³.

Quick one: most stable of them? entry P